This record from OQMD via LeMat-Bulk describes crystalline PaAgPO at its relaxed geometry. The functional is PBE-GGA.

abc: 4.1470 5.6248 6.6327
angles: 90.00 90.00 90.00
With the nearest neighbours (Å) after each atom.
Space group Pmc2_1 (No. 26)
One atom of each set of equivalent atoms:
1 Pa 0.0000 0.2358 0.0000 x2  2 O 2.24-2.26
2 Ag 0.5000 0.3002 0.3982 x2  2 O 2.38, 2 P 2.44-2.50
3 P 0.5000 0.0907 0.7196 x2  2 Ag 2.44-2.50
4 O 0.0000 0.4581 0.2837 x2  2 Pa 2.24-2.26, 2 Ag 2.38

The value obtained for the total magnetic moment is 2.0 Bohr magnetons per cell. The relative energy among the computed polymorphs is 388 meV/atom.

This record from OQMD via LeMat-Bulk describes crystalline PaAgPO at its relaxed geometry. The functional is PBE-GGA.

abc: 4.4904 5.8925 6.0038
angles: 90.00 90.00 90.00
With the nearest neighbours (Å) after each atom.
Space group Pmc2_1 (No. 26)
One atom of each set of equivalent atoms:
1 Pa 0.0000 0.2448 0.0000 x2  2 O 2.25
2 Ag 0.5000 0.3168 0.5898 x2  2 P 2.37, 2 O 2.52-2.65
3 P 0.0000 0.2473 0.4849 x2  2 Ag 2.37
4 O 0.5000 0.2431 0.0028 x2  2 Pa 2.25

The value obtained for the total magnetic moment is 2.0 Bohr magnetons per cell. The relative energy among the computed polymorphs is 235 meV/atom.

This record from OQMD via LeMat-Bulk describes crystalline AgPPbO at its relaxed geometry. The functional is PBE-GGA.

abc: 4.0873 6.6870 6.3378
angles: 90.00 90.00 90.00
With the nearest neighbours (Å) after each atom.
Space group Pmc2_1 (No. 26)
One atom of each set of equivalent atoms:
1 Ag 0.0000 0.2071 0.0000 x2  2 O 2.44, 2 P 2.44-2.46
2 P 0.0000 0.1426 0.3783 x2  2 Ag 2.44-2.46, 2 Pb 2.61
3 Pb 0.5000 0.3260 0.5446 x2  2 O 2.21-2.23
4 O 0.5000 0.3766 0.8917 x2  2 Pb 2.21-2.23, 2 Ag 2.44

The relative energy among the computed polymorphs is 135 meV/atom.

This record from OQMD via LeMat-Bulk describes crystalline AgPPbO at its relaxed geometry. The functional is PBE-GGA.

abc: 4.1368 4.1368 9.2520
angles: 90.00 90.00 90.00
With the nearest neighbours (Å) after each atom.
Space group P4/nmm (No. 129, origin choice 2)
One atom of each set of equivalent atoms:
1 Ag 0.2500 0.7500 0.0000 x2  4 P 2.50
2 P 0.2500 0.2500 0.1512 x2  4 Ag 2.50
3 Pb 0.2500 0.2500 0.6258 x2  4 O 2.37
4 O 0.2500 0.7500 0.5000 x2  4 Pb 2.37

The relative energy among the computed polymorphs is 0 meV/atom.

This record from OQMD via LeMat-Bulk describes crystalline AgPPbO5 at its relaxed geometry. The functional is PBE-GGA.

abc: 5.2516 6.6259 6.9663
angles: 108.69 106.39 98.07
With the nearest neighbours (Å) after each atom.
Space group P-1 (No. 2)
One atom of each set of equivalent atoms:
1 Ag 0.1033 0.3186 0.0270 x2  3 O 2.20-2.41
2 P 0.3218 0.3128 0.6064 x2  4 O 1.55-1.56
3 Pb 0.3398 0.8666 0.7406 x2  6 O 2.13-2.28
4 O 0.1023 0.3034 0.3991 x2  1 P 1.55
5 O 0.1984 0.1572 0.7004 x2  1 P 1.55
6 O 0.2588 0.9418 0.0429 x2  2 Pb 2.13-2.18, 1 Ag 2.20
7 O 0.4140 0.5498 0.7819 x2  1 P 1.55
8 O 0.4193 0.7501 0.4364 x2  1 P 1.56

This record from OQMD via LeMat-Bulk describes crystalline AgPPbO at its relaxed geometry. The functional is PBE-GGA.

abc: 3.8486 6.8031 6.6015
angles: 90.00 90.00 90.00
With the nearest neighbours (Å) after each atom.
Space group Pmc2_1 (No. 26)
One atom of each set of equivalent atoms:
1 Ag 0.0000 0.1576 0.0000 x2  2 O 2.37-2.42, 2 P 2.40
2 P 0.5000 0.3045 0.8429 x2  2 Ag 2.40, 2 Pb 2.66
3 Pb 0.5000 0.3164 0.4399 x2  2 O 2.23
4 O 0.0000 0.1697 0.3582 x2  2 Pb 2.23, 2 Ag 2.37-2.42

The relative energy among the computed polymorphs is 135 meV/atom.

no.,E (Ha/atom)
1,-0.2381
2,-0.2438
3,-0.1585
4,-0.1634
5,-0.2158
6,-0.1585